A plane-wave DFT calculation with PBE with a Hubbard U was carried out for a relaxed TbVSe2O8 crystal.

Cell lengths 6.790, 7.041, 13.786 Å; angles 90.00, 90.92, 90.00 degrees
Space group P2_1/m (No. 11)
Symmetry-distinct sites (fractional):
Tb 0.076 0.250 0.067 [2 per cell]
Tb 0.371 0.750 0.133 [2 per cell]
V 0.376 0.009 0.622 [4 per cell]
Se 0.038 0.250 0.345 [2 per cell]
Se 0.112 0.250 0.843 [2 per cell]
Se 0.206 0.750 0.400 [2 per cell]
Se 0.455 0.750 0.866 [2 per cell]
O 0.017 0.750 0.775 [2 per cell]
O 0.023 0.577 0.095 [4 per cell]
O 0.094 0.553 0.612 [4 per cell]
O 0.206 0.750 0.277 [2 per cell]
O 0.291 0.750 0.962 [2 per cell]
O 0.305 0.250 0.580 [2 per cell]
O 0.312 0.250 0.921 [2 per cell]
O 0.359 0.554 0.429 [4 per cell]
O 0.374 0.074 0.104 [4 per cell]
O 0.414 0.058 0.738 [4 per cell]
O 0.422 0.750 0.617 [2 per cell]

Output
Magnetization, Bohr magnetons per cell: 0.00
Total energy, eV per atom: -6.61